(1)
# PBE LiHoCdCo, optimized geometry
# Energy of formation = -51 meV per atom
data_LiHoCdCo
_chemical_formula_sum 'Li4 Ho4 Cd4 Co4'
_cell_length_a 6.5838
_cell_length_b 6.5838
_cell_length_c 6.5838
_cell_angle_alpha 90.00
_cell_angle_beta 90.00
_cell_angle_gamma 90.00
_symmetry_space_group_name_H-M 'F -4 3 m'
_symmetry_Int_Tables_number 216
_symmetry_space_group_name_Hall 'F -4 2 3'
loop_
_atom_site_label
_atom_site_fract_x
_atom_site_fract_y
_atom_site_fract_z
Li1 0.0000 0.0000 0.0000
Ho1 0.2500 0.2500 0.7500
Cd1 0.2500 0.2500 0.2500
Co1 0.0000 0.0000 0.5000

***

(2)
# PBE HoMgCdCo, optimized geometry
# Energy of formation = -19 meV per atom
data_HoMgCdCo
_chemical_formula_sum 'Ho4 Mg4 Cd4 Co4'
_cell_length_a 6.8372
_cell_length_b 6.8372
_cell_length_c 6.8372
_cell_angle_alpha 90.00
_cell_angle_beta 90.00
_cell_angle_gamma 90.00
_symmetry_space_group_name_H-M 'F -4 3 m'
_symmetry_Int_Tables_number 216
_symmetry_space_group_name_Hall 'F -4 2 3'
loop_
_atom_site_label
_atom_site_fract_x
_atom_site_fract_y
_atom_site_fract_z
Ho1 0.0000 0.0000 0.0000
Mg1 0.0000 0.0000 0.5000
Cd1 0.2500 0.2500 0.2500
Co1 0.2500 0.2500 0.7500

***

(3)
# PBE NdHoCdCo, optimized geometry
# Energy of formation = -89 meV per atom
data_NdHoCdCo
_chemical_formula_sum 'Nd4 Ho4 Cd4 Co4'
_cell_length_a 7.2301
_cell_length_b 7.2301
_cell_length_c 7.2301
_cell_angle_alpha 90.00
_cell_angle_beta 90.00
_cell_angle_gamma 90.00
_symmetry_space_group_name_H-M 'F -4 3 m'
_symmetry_Int_Tables_number 216
_symmetry_space_group_name_Hall 'F -4 2 3'
loop_
_atom_site_label
_atom_site_fract_x
_atom_site_fract_y
_atom_site_fract_z
Nd1 0.0000 0.0000 0.0000
Ho1 0.0000 0.0000 0.5000
Cd1 0.2500 0.2500 0.7500
Co1 0.2500 0.2500 0.2500

***

(4)
# PBE HoCdCoPd, optimized geometry
# Energy of formation = -307 meV per atom
data_HoCdCoPd
_chemical_formula_sum 'Ho4 Cd4 Co4 Pd4'
_cell_length_a 6.5914
_cell_length_b 6.5914
_cell_length_c 6.5914
_cell_angle_alpha 90.00
_cell_angle_beta 90.00
_cell_angle_gamma 90.00
_symmetry_space_group_name_H-M 'F -4 3 m'
_symmetry_Int_Tables_number 216
_symmetry_space_group_name_Hall 'F -4 2 3'
loop_
_atom_site_label
_atom_site_fract_x
_atom_site_fract_y
_atom_site_fract_z
Ho1 0.0000 0.0000 0.0000
Cd1 0.0000 0.0000 0.5000
Co1 0.2500 0.2500 0.2500
Pd1 0.2500 0.2500 0.7500